[1]
First-principles (PBE-GGA) data for crystalline DyTaP2 at its relaxed geometry, as listed in the Alexandria database.

Cell and atoms, written as POSCAR:
```
DyTaP2
1.0
3.744 0.000 0.000
-1.872 3.242 0.000
0.000 0.000 18.617
Dy Ta P
3 3 6
direct
0.000 0.000 0.000 Dy
0.333 0.667 0.667 Dy
0.667 0.333 0.333 Dy
0.000 0.000 0.500 Ta
0.333 0.667 0.167 Ta
0.667 0.333 0.833 Ta
0.000 0.000 0.241 P
0.000 0.000 0.759 P
0.333 0.667 0.426 P
0.333 0.667 0.908 P
0.667 0.333 0.092 P
0.667 0.333 0.574 P
```

## Properties
Fermi-level density of states ... 0.40 states/eV/atom
Calculated density ... 8.9 Mg/m³
Energy relative to the elements ... -1.0724 eV/atom

---

[2]
First-principles (PBE-GGA) data for crystalline Tb2PmSc4 at its relaxed geometry, as listed in the Alexandria database.

Cell and atoms, written as POSCAR:
```
Tb2PmSc4
1.0
8.082 0.000 0.000
0.000 8.082 0.000
0.000 0.000 6.288
Tb Pm Sc
4 2 8
direct
0.000 0.500 0.250 Tb
0.000 0.500 0.750 Tb
0.500 0.000 0.250 Tb
0.500 0.000 0.750 Tb
0.000 0.000 0.000 Pm
0.500 0.500 0.500 Pm
0.193 0.193 0.500 Sc
0.193 0.807 0.500 Sc
0.307 0.307 0.000 Sc
0.307 0.693 0.000 Sc
0.693 0.307 0.000 Sc
0.693 0.693 0.000 Sc
0.807 0.193 0.500 Sc
0.807 0.807 0.500 Sc
```

## Properties
Fermi-level density of states ... 2.07 states/eV/atom
Calculated density ... 5.2 Mg/m³
Energy relative to the elements ... 0.2397 eV/atom

---

[3]
First-principles (PBE-GGA) data for crystalline LiFeHPd2 at its relaxed geometry, as listed in the Alexandria database.

Cell and atoms, written as POSCAR:
```
LiFeHPd2
1.0
3.967 0.000 0.000
0.000 3.967 0.000
0.000 0.000 3.701
Li Fe H Pd
1 1 1 2
direct
0.000 0.000 0.000 Li
0.500 0.500 0.000 Fe
0.000 0.000 0.500 H
0.000 0.500 0.500 Pd
0.500 0.000 0.500 Pd
```

## Properties
Fermi-level density of states ... 0.81 states/eV/atom
Calculated density ... 7.9 Mg/m³
DFT total energy ... -24.78 eV/cell

---

[4]
First-principles (PBE-GGA) data for crystalline Co2HgBr at its relaxed geometry, as listed in the Alexandria database.

Cell and atoms, written as POSCAR:
```
Co2HgBr
1.0
3.186 0.000 0.000
-1.593 2.759 0.000
0.000 0.000 23.192
Co Hg Br
6 3 3
direct
0.000 0.000 0.245 Co
0.000 0.000 0.755 Co
0.333 0.667 0.422 Co
0.333 0.667 0.912 Co
0.667 0.333 0.088 Co
0.667 0.333 0.578 Co
0.000 0.000 0.000 Hg
0.333 0.667 0.667 Hg
0.667 0.333 0.333 Hg
0.000 0.000 0.500 Br
0.333 0.667 0.167 Br
0.667 0.333 0.833 Br
```

## Properties
Fermi-level density of states ... 1.57 states/eV/atom
Calculated density ... 9.7 Mg/m³
DFT total energy ... -41.20 eV/cell

---

[5]
First-principles (PBE-GGA) data for crystalline Sr2CaAu at its relaxed geometry, as listed in the Alexandria database.

Cell and atoms, written as POSCAR:
```
Sr2CaAu
1.0
3.892 0.000 0.000
0.000 3.892 0.000
0.000 0.000 9.901
Sr Ca Au
2 1 1
direct
0.000 0.000 0.000 Sr
0.500 0.500 0.338 Sr
0.500 0.500 0.691 Ca
0.000 0.000 0.532 Au
```

## Properties
Fermi-level density of states ... 0.99 states/eV/atom
Calculated density ... 4.6 Mg/m³
Energy relative to the elements ... -0.3821 eV/atom

---

[6]
First-principles (PBE-GGA) data for crystalline Tl2ReIr at its relaxed geometry, as listed in the Alexandria database.

Cell and atoms, written as POSCAR:
```
Tl2ReIr
1.0
7.701 0.000 0.000
0.000 7.701 0.000
0.000 0.000 5.593
Tl Re Ir
8 4 4
direct
0.240 0.250 0.125 Tl
0.250 0.740 0.375 Tl
0.250 0.760 0.875 Tl
0.260 0.250 0.625 Tl
0.740 0.750 0.625 Tl
0.750 0.240 0.875 Tl
0.750 0.260 0.375 Tl
0.760 0.750 0.125 Tl
0.000 0.000 0.500 Re
0.000 0.500 0.750 Re
0.500 0.000 0.250 Re
0.500 0.500 0.000 Re
0.000 0.000 0.000 Ir
0.000 0.500 0.250 Ir
0.500 0.000 0.750 Ir
0.500 0.500 0.500 Ir
```

## Properties
Fermi-level density of states ... 0.98 states/eV/atom
Calculated density ... 15.8 Mg/m³
Energy relative to the elements ... 1.3184 eV/atom